# 1
This record from Alexandria describes a relaxed structure of CoBiW3. The functional is PBE.

Unit cell a=4.575 b=4.575 c=4.575 alpha=90.00 beta=90.00 gamma=90.00
Space group Pm-3m (No. 221)
Symmetry-distinct sites (fractional):
Co 0.000 0.000 0.000 [1 per cell]
Bi 0.500 0.500 0.500 [1 per cell]
W 0.000 0.000 0.500 [3 per cell]

Summary:
The calculation puts the spin magnetization at 0.00 μB per cell. The calculation puts the formation energy at 685 kJ/mol of formula units. The calculation puts the mass density at 14213 kg/m³. The volume is 95.7 Å³/cell.

=====

# 2
This record from Alexandria describes a relaxed structure of Re2NiPb. The functional is PBE.

Unit cell a=3.093 b=3.093 c=7.050 alpha=90.00 beta=90.00 gamma=90.00
Space group P4/mmm (No. 123)
Symmetry-distinct sites (fractional):
Re 0.000 0.000 0.179 [2 per cell]
Ni 0.500 0.500 0.000 [1 per cell]
Pb 0.500 0.500 0.500 [1 per cell]

Summary:
The calculation puts the spin magnetization at 0.00 μB per cell. The calculation puts the formation energy at 280 kJ/mol of formula units. The calculation puts the mass density at 15710 kg/m³. The volume is 67.5 Å³/cell.

=====

# 3
This record from Alexandria describes a relaxed structure of SiTcOs2. The functional is PBE.

Unit cell a=3.855 b=3.855 c=7.520 alpha=90.00 beta=90.00 gamma=90.00
Space group I4/mmm (No. 139)
Symmetry-distinct sites (fractional):
Si 0.000 0.000 0.000 [2 per cell]
Tc 0.000 0.000 0.500 [2 per cell]
Os 0.000 0.500 0.250 [4 per cell]

Summary:
The calculation puts the spin magnetization at 0.00 μB per cell. For the uncorrected formation energy, the calculation gives 9.3 kJ per mole of atoms. The calculation puts the mass density at 15057 kg/m³. The volume is 111.7 Å³/cell.

=====

# 4
This record from Alexandria describes a relaxed structure of ScTc2Br. The functional is PBE.

Unit cell a=3.1744 b=3.1744 c=25.7579 alpha=90.00 beta=90.00 gamma=120.00
Space group R3m (No. 160, hexagonal axes)
Symmetry-distinct sites (fractional):
Sc 0.0000 0.0000 0.0000 [3 per cell]
Tc 0.0000 0.0000 0.4836 [3 per cell]
Tc 0.0000 0.0000 0.7500 [3 per cell]
Br 0.0000 0.0000 0.2552 [3 per cell]

Summary:
The calculation puts the spin magnetization at 0.00 μB per cell. For the uncorrected formation energy, the calculation gives 4.0 kJ per mole of atoms. The calculation puts the energy above the most stable polymorph in this dataset at 211 meV per atom. The calculation puts the mass density at 7111 kg/m³. The volume is 224.8 Å³/cell.

=====

# 5
This record from Alexandria describes a relaxed structure of FeSb. The functional is PBE.

Unit cell a=3.156 b=3.156 c=13.571 alpha=90.00 beta=90.00 gamma=90.00
Space group I-4m2 (No. 119)
Symmetry-distinct sites (fractional):
Fe 0.000 0.000 0.101 [4 per cell]
Sb 0.000 0.000 0.500 [2 per cell]
Sb 0.000 0.500 0.250 [2 per cell]

Summary:
The calculation puts the spin magnetization at 0.59 μB per cell. For the uncorrected formation energy, the calculation gives 25.8 kJ per mole of atoms. The calculation puts the mass density at 8725 kg/m³. The volume is 135.2 Å³/cell.

=====

# 6
This record from Alexandria describes a relaxed structure of NdAs2Pd5Au. The functional is PBE.

Unit cell a=4.681 b=4.681 c=7.659 alpha=90.00 beta=90.00 gamma=90.00
Space group P4/mmm (No. 123)
Symmetry-distinct sites (fractional):
Nd 0.000 0.000 0.000 [1 per cell]
As 0.500 0.500 0.338 [2 per cell]
Pd 0.000 0.500 0.245 [4 per cell]
Pd 0.500 0.500 0.000 [1 per cell]
Au 0.000 0.000 0.500 [1 per cell]

Summary:
The calculation puts the spin magnetization at 0.00 μB per cell. The calculation puts the formation energy at -375 kJ/mol of formula units. The calculation puts the mass density at 10123 kg/m³. The volume is 167.8 Å³/cell.

=====

Among the records above, which one has the lowest mass density? ScTc2Br

=====

Among the records above, which one has the highest volume? ScTc2Br